# 1
Material: Ca2CuTc
Method: DFT, PBEsol
State: relaxed

It has space group Imm2 (No. 44), with a = 3.099 Å, b = 5.000 Å, c = 10.628 Å, α = 90.00°, β = 90.00° and γ = 90.00°. The distinct sites, in fractional coordinates, are Ca at (0.000, 0.000, 0.000), Ca at (0.000, 0.500, 0.203), Cu at (0.000, 0.500, 0.752) and Tc at (0.000, 0.000, 0.433).

As for the relative energy among the computed polymorphs: 0 meV/atom. As for the density of states at the Fermi level: 3.81 states/eV/f.u. As for the spin magnetization: 0.0 μB/f.u.

---

# 2
Material: CaCuTc
Method: DFT, PBEsol
State: relaxed

It has space group I4mm (No. 107), with a = 2.712 Å, b = 2.712 Å, c = 13.202 Å, α = 90.00°, β = 90.00° and γ = 90.00°. The distinct sites, in fractional coordinates, are Ca at (0.000, 0.000, 0.000), Cu at (0.000, 0.000, 0.679) and Tc at (0.000, 0.000, 0.315).

As for the relative energy among the computed polymorphs: 0 meV/atom. As for the density of states at the Fermi level: 2.00 states/eV/f.u. As for the spin magnetization: 0.0 μB/f.u.

---

# 3
Material: CaCuTc
Method: DFT, PBEsol
State: relaxed

It has space group F-43m (No. 216), with a = 6.291 Å, b = 6.291 Å, c = 6.291 Å, α = 90.00°, β = 90.00° and γ = 90.00°. The distinct sites, in fractional coordinates, are Ca at (0.000, 0.000, 0.000), Cu at (0.250, 0.250, 0.750) and Tc at (0.250, 0.250, 0.250).

As for the relative energy among the computed polymorphs: 1110 meV/atom. As for the density of states at the Fermi level: 2.00 states/eV/f.u. As for the spin magnetization: 2.5 μB/f.u.

---

# 4
Material: CaCu2Tc
Method: DFT, PBEsol
State: relaxed

It has space group I-4m2 (No. 119), with a = 3.797 Å, b = 3.797 Å, c = 8.492 Å, α = 90.00°, β = 90.00° and γ = 90.00°. The distinct sites, in fractional coordinates, are Ca at (0.000, 0.000, 0.000), Cu at (0.000, 0.000, 0.500), Cu at (0.000, 0.500, 0.250) and Tc at (0.000, 0.500, 0.750).

For the total energy, the calculation gives -4.9374 eV per atom. As for the density of states at the Fermi level: 4.04 states/eV/f.u. As for the spin magnetization: 0.7 μB/f.u.

---

# 5
Material: Ca2CuTc
Method: DFT, PBEsol
State: relaxed

It has space group Pmmm (No. 47), with a = 2.908 Å, b = 3.399 Å, c = 8.041 Å, α = 90.00°, β = 90.00° and γ = 90.00°. The distinct sites, in fractional coordinates, are Ca at (0.000, 0.000, 0.249), Cu at (0.500, 0.500, 0.000) and Tc at (0.500, 0.500, 0.500).

As for the relative energy among the computed polymorphs: 74 meV/atom. As for the density of states at the Fermi level: 3.72 states/eV/f.u. As for the spin magnetization: 0.0 μB/f.u.

---

# 6
Material: CaCuTe
Method: DFT, PBEsol
State: relaxed

It has space group F-43m (No. 216), with a = 6.829 Å, b = 6.829 Å, c = 6.829 Å, α = 90.00°, β = 90.00° and γ = 90.00°. The distinct sites, in fractional coordinates, are Ca at (0.000, 0.000, 0.000), Cu at (0.000, 0.000, 0.500) and Te at (0.250, 0.250, 0.250).

For the total energy, the calculation gives -3.5785 eV per atom. As for the density of states at the Fermi level: 2.30 states/eV/f.u. As for the spin magnetization: 0.0 μB/f.u.

---

# 7
Material: Ca2TlCu
Method: DFT, PBEsol
State: relaxed

It has space group P4/mmm (No. 123), with a = 3.598 Å, b = 3.598 Å, c = 7.597 Å, α = 90.00°, β = 90.00° and γ = 90.00°. The distinct sites, in fractional coordinates, are Ca at (0.000, 0.000, 0.226), Tl at (0.500, 0.500, 0.500) and Cu at (0.500, 0.500, 0.000).

For the total energy, the calculation gives -3.0324 eV per atom. As for the density of states at the Fermi level: 2.94 states/eV/f.u. As for the spin magnetization: 0.0 μB/f.u.

---

# 8
Material: CaTl2Cu
Method: DFT, PBEsol
State: relaxed

It has space group P4mm (No. 99), with a = 3.593 Å, b = 3.593 Å, c = 7.311 Å, α = 90.00°, β = 90.00° and γ = 90.00°. The distinct sites, in fractional coordinates, are Ca at (0.000, 0.000, 0.000), Tl at (0.000, 0.000, 0.427), Tl at (0.500, 0.500, 0.708) and Cu at (0.500, 0.500, 0.245).

For the total energy, the calculation gives -2.9638 eV per atom. As for the density of states at the Fermi level: 2.32 states/eV/f.u. As for the spin magnetization: 0.0 μB/f.u.